(1)
An optimized crystal structure of RbIrN2O. Source: the Alexandria database, functional PBE.

```
data_RbIrN2O
_cell_length_a 4.415
_cell_length_b 4.415
_cell_length_c 4.096
_cell_angle_alpha 90.00
_cell_angle_beta 90.00
_cell_angle_gamma 90.00
_space_group_name_H-M_alt 'P 1'
_space_group_IT_number 1
loop_
_space_group_symop_operation_xyz
'x,y,z'
loop_
_atom_site_label
_atom_site_fract_x
_atom_site_fract_y
_atom_site_fract_z
N1 0.500 0.000 0.000
O1 0.000 0.000 0.500
Rb1 0.000 0.000 0.000
Ir1 0.500 0.500 0.500
N2 0.000 0.500 0.000
```

Properties
Theoretical density in Mg/m³: 6.69
ΔE_f (raw) in eV/atom: 3.38
Density of states at the Fermi level in states/eV/f.u.: 5.4
Total moment in μB per atom: 0.601
Calculated volume in Å³/cell: 79.8

(2)
An optimized crystal structure of Rb2PmP2O7. Source: the Alexandria database, functional PBE.

```
data_Rb2PmP2O7
_cell_length_a 6.221
_cell_length_b 6.221
_cell_length_c 7.290
_cell_angle_alpha 64.74
_cell_angle_beta 64.74
_cell_angle_gamma 60.00
_space_group_name_H-M_alt 'P 1'
_space_group_IT_number 1
loop_
_space_group_symop_operation_xyz
'x,y,z'
loop_
_atom_site_label
_atom_site_fract_x
_atom_site_fract_y
_atom_site_fract_z
P1 0.915 0.915 0.254
Pm1 0.500 0.500 0.500
O1 0.000 0.000 0.000
P2 0.085 0.085 0.746
Rb1 0.733 0.733 0.802
O2 0.243 0.243 0.682
O3 0.243 0.832 0.682
O4 0.168 0.757 0.318
O5 0.757 0.757 0.318
Rb2 0.267 0.267 0.198
O6 0.757 0.168 0.318
O7 0.832 0.243 0.682
```

Properties
Theoretical density in Mg/m³: 3.83
ΔE_f (raw) in eV/atom: -2.34
Density of states at the Fermi level in states/eV/f.u.: 1.9
Total moment in μB per atom: 0.053
Calculated volume in Å³/cell: 212.7